No. 1
Compound: KBaCa2Tl
Source: Alexandria via LeMat-Bulk
Functional: PBE
Structure: optimized geometry

Summary:
As for the formation energy: 733.0 meV/atom. Its space-group type is P4/mmm, No. 123. The theoretical density comes out at 2.76 g/cm3. For the magnetization, the calculation gives 1.39 μB per cell. The calculation puts the energy above the lowest structure with this stoichiometry at 761 meV per atom.

```
KBaCa2Tl
1.0
-3.422 -5.370 0.860
5.058 -3.631 -2.542
2.494 -0.647 5.886
K Tl Ca Ba
1 1 2 1
Cartesian
0.000 0.000 0.000
2.065 -4.824 2.102
1.247 -0.323 2.943
-1.711 -2.685 0.430
2.529 -1.816 -1.271
```

***

No. 2
Compound: KBaCaTl
Source: Alexandria via LeMat-Bulk
Functional: PBE
Structure: optimized geometry

Summary:
As for the formation energy: -101.3 meV/atom. Its space-group type is F-43m, No. 216. The theoretical density comes out at 4.38 g/cm3. For the magnetization, the calculation gives 0.00 μB per cell.

```
KBaCaTl
1.0
-4.135 2.354 3.800
0.582 -0.802 6.009
1.477 4.706 3.571
K Tl Ca Ba
1 1 1 1
Cartesian
-1.038 3.129 6.690
0.000 0.000 0.000
-0.519 1.565 3.345
-1.558 4.694 10.035
```

***

No. 3
Compound: KBaCa2Tl
Source: Alexandria via LeMat-Bulk
Functional: PBE
Structure: optimized geometry

Summary:
As for the formation energy: -28.1 meV/atom. Its space-group type is P4/mmm, No. 123. The theoretical density comes out at 2.89 g/cm3. For the magnetization, the calculation gives 0.00 μB per cell. The calculation puts the energy above the lowest structure with this stoichiometry at 0 meV per atom.

```
KBaCa2Tl
1.0
-5.643 -2.271 1.393
1.675 -5.562 -2.280
2.260 -1.841 6.151
K Tl Ca Ba
1 1 2 1
Cartesian
-0.854 -4.837 2.632
0.000 0.000 0.000
0.838 -2.781 -1.140
-2.821 -1.135 0.697
1.130 -0.920 3.076
```

***

No. 4
Compound: K2BaCaZn
Source: Alexandria via LeMat-Bulk
Functional: PBE
Structure: optimized geometry

Summary:
As for the formation energy: 436.5 meV/atom. Its space-group type is P4/mmm, No. 123. The theoretical density comes out at 1.82 g/cm3. For the magnetization, the calculation gives 0.00 μB per cell.

```
K2BaCaZn
1.0
-2.233 3.217 5.968
2.127 -4.337 3.133
6.246 3.420 0.494
K Zn Ca Ba
2 1 1 1
Cartesian
3.123 1.710 0.247
-1.116 1.609 2.984
1.063 -2.169 1.567
0.000 0.000 0.000
3.070 1.150 4.798
```

***

No. 5
Compound: KBaCa2Zn
Source: Alexandria via LeMat-Bulk
Functional: PBE
Structure: optimized geometry

Summary:
As for the formation energy: 103.6 meV/atom. Its space-group type is P4/mmm, No. 123. The theoretical density comes out at 2.27 g/cm3. For the magnetization, the calculation gives 0.00 μB per cell. The calculation puts the energy above the lowest structure with this stoichiometry at 75 meV per atom.

```
KBaCa2Zn
1.0
-5.115 2.088 2.311
1.718 -1.814 5.443
2.845 5.819 1.041
K Zn Ca Ba
1 1 2 1
Cartesian
1.423 2.909 0.520
0.000 0.000 0.000
0.859 -0.907 2.721
-2.558 1.044 1.155
-0.276 3.047 4.397
```

***

No. 6
Compound: KBaCa2Zn
Source: Alexandria via LeMat-Bulk
Functional: PBE
Structure: optimized geometry

Summary:
As for the formation energy: 28.6 meV/atom. Its space-group type is P4/mmm, No. 123. The theoretical density comes out at 2.24 g/cm3. For the magnetization, the calculation gives 0.00 μB per cell. The calculation puts the energy above the lowest structure with this stoichiometry at 0 meV per atom.

```
KBaCa2Zn
1.0
-1.374 4.832 3.445
2.481 -2.744 4.839
5.691 2.634 -1.424
K Zn Ca Ba
1 1 2 1
Cartesian
3.399 2.360 3.429
0.000 0.000 0.000
1.240 -1.372 2.419
-0.687 2.416 1.722
2.846 1.317 -0.712
```

***

> Among the records above, which one has the highest theoretical density?

KBaCaTl

***

> What is the magnetization in the fifth record?

0.00 μB per cell

***

What did the sixth record say?
Compound: KBaCa2Zn
Source: Alexandria via LeMat-Bulk
Functional: PBE
Structure: optimized geometry

Summary:
As for the formation energy: 28.6 meV/atom. Its space-group type is P4/mmm, No. 123. The theoretical density comes out at 2.24 g/cm3. For the magnetization, the calculation gives 0.00 μB per cell. The calculation puts the energy above the lowest structure with this stoichiometry at 0 meV per atom.

```
KBaCa2Zn
1.0
-1.374 4.832 3.445
2.481 -2.744 4.839
5.691 2.634 -1.424
K Zn Ca Ba
1 1 2 1
Cartesian
3.399 2.360 3.429
0.000 0.000 0.000
1.240 -1.372 2.419
-0.687 2.416 1.722
2.846 1.317 -0.712
```